Computed, not measured: an optimized crystal structure of Mn2RuO at the PBE with a Hubbard U level of DFT.

Calculated values
total energy	-116.3	eV/cell
ρ	6.177	g cm⁻³

The structure in CIF format:
```
data_Mn2RuO
_cell_length_a 6.211
_cell_length_b 6.211
_cell_length_c 6.327
_cell_angle_alpha 90.00
_cell_angle_beta 90.00
_cell_angle_gamma 90.00
_space_group_name_H-M_alt 'I -4 2 d'
_space_group_IT_number 122
_space_group_name_Hall 'I -4 2bw'
loop_
_atom_site_label
_atom_site_type_symbol
_atom_site_fract_x
_atom_site_fract_y
_atom_site_fract_z
Mn1 Mn 0.173 0.750 0.125
Ru1 Ru 0.000 0.000 0.500
O1 O 0.000 0.000 0.000
```